Computed, not measured: an optimized crystal structure of AcGaFe2O6 at the GGA+U level of DFT.

Unit cell a=5.334 b=5.415 c=5.598 alpha=61.44 beta=63.29 gamma=61.48
Each line ends with the local moment (μB).
Element x y z (fractional)
Ac 0.781 0.775 0.676  0.00
Ga 0.319 0.319 0.052  0.02
Fe 0.526 0.523 0.429  4.28
Fe 0.021 0.007 0.967  3.20
O 0.596 0.270 0.227  0.15
O 0.255 0.907 0.219  0.04
O 0.903 0.620 0.206  0.07
O 0.326 0.722 0.738  0.11
O 0.736 0.205 0.746  0.03
O 0.200 0.313 0.756  -0.01

As for the calculated total energy: -6.7023 eV/atom. As for the symmetry: No. 1.